No. 1
A plane-wave DFT calculation with PBE was carried out for an optimized crystal structure of Pr2AgGe.

a b c (Å): 3.8242 5.2427 5.2427
angles (deg): 90.00 90.00 90.00
With the nearest neighbours (Å) after each atom.
Atoms (fractional coordinates):
1 Pr 0.0000 0.0000 0.5000  4 Ge 3.24, 4 Ag 3.24
2 Pr 0.0000 0.5000 0.0000  4 Ag 3.24, 4 Ge 3.24
3 Ge 0.5000 0.0000 0.0000  8 Pr 3.24
4 Ag 0.5000 0.5000 0.5000  8 Pr 3.24

Summary:
- Final energy: -18.92 eV per cell
- Energy relative to the elements: -0.47 eV per atom

---

No. 2
A plane-wave DFT calculation with PBE was carried out for an optimized crystal structure of Nd3Dy13.

a b c (Å): 7.1384 7.1384 10.0759
angles (deg): 90.00 90.00 90.04
With the nearest neighbours (Å) after each atom.
Atoms (fractional coordinates):
1 Nd 0.0008 0.9992 0.2508  11 Dy 3.56-3.58, 1 Nd 3.59
2 Nd 0.7485 0.2515 0.0000  10 Dy 3.55-3.59, 2 Nd 3.59
3 Nd 0.0008 0.9992 0.7492  11 Dy 3.56-3.58, 1 Nd 3.59
4 Dy 0.4994 0.9995 0.2512  9 Dy 3.55-3.58, 3 Nd 3.56-3.58
5 Dy 0.4991 0.5009 0.2514  11 Dy 3.54-3.58, 1 Nd 3.57
6 Dy 0.0005 0.5006 0.2512  9 Dy 3.55-3.58, 3 Nd 3.56-3.58
7 Dy 0.7484 0.7485 0.0000  8 Dy 3.55-3.59, 4 Nd 3.55-3.59
8 Dy 0.2515 0.2516 0.0000  8 Dy 3.55-3.59, 4 Nd 3.55-3.59
9 Dy 0.2515 0.7485 0.0000  10 Dy 3.55-3.59, 2 Nd 3.58
10 Dy 0.4994 0.9995 0.7488  9 Dy 3.55-3.58, 3 Nd 3.56-3.58
11 Dy 0.4991 0.5009 0.7486  11 Dy 3.54-3.58, 1 Nd 3.57
12 Dy 0.0005 0.5006 0.7488  9 Dy 3.55-3.58, 3 Nd 3.56-3.58
13 Dy 0.7482 0.2517 0.5000  10 Dy 3.55-3.59, 2 Nd 3.58
14 Dy 0.7489 0.7486 0.5000  10 Dy 3.55-3.59, 2 Nd 3.57
15 Dy 0.2514 0.2511 0.5000  10 Dy 3.55-3.59, 2 Nd 3.57
16 Dy 0.2519 0.7481 0.5000  10 Dy 3.54-3.59, 2 Nd 3.57

Summary:
- Final energy: -73.88 eV per cell
- Energy relative to the elements: 0.02 eV per atom

---

No. 3
A plane-wave DFT calculation with PBE was carried out for an optimized crystal structure of Te5Pd21.

a b c (Å): 8.8851 8.8851 8.8851
angles (deg): 60.00 60.00 60.00
With the nearest neighbours (Å) after each atom.
Atoms (fractional coordinates):
1 Te 0.7500 0.7500 0.7500  4 Pd 2.56
2 Te 0.3744 0.3744 0.3744  6 Pd 2.68-2.71
3 Te 0.3744 0.8769 0.3744  6 Pd 2.68-2.71
4 Te 0.8769 0.3744 0.3744  6 Pd 2.68-2.71
5 Te 0.3744 0.3744 0.8769  6 Pd 2.68-2.71
6 Pd 0.6322 0.6322 0.6322  1 Te 2.56, 6 Pd 2.71-2.76
7 Pd 0.6322 0.1034 0.6322  1 Te 2.56, 6 Pd 2.71-2.76
8 Pd 0.1034 0.6322 0.6322  1 Te 2.56, 6 Pd 2.71-2.76
9 Pd 0.6322 0.6322 0.1034  1 Te 2.56, 6 Pd 2.71-2.76
10 Pd 0.1207 0.1207 0.1207  7 Pd 2.63-2.72
11 Pd 0.1207 0.6380 0.1207  7 Pd 2.63-2.72
12 Pd 0.6380 0.1207 0.1207  7 Pd 2.63-2.72
13 Pd 0.1207 0.1207 0.6380  7 Pd 2.63-2.72
14 Pd 0.7479 0.7479 0.2521  4 Pd 2.71-2.76, 2 Te 2.71
15 Pd 0.2521 0.7479 0.7479  4 Pd 2.71-2.76, 2 Te 2.71
16 Pd 0.7479 0.2521 0.7479  4 Pd 2.71-2.76, 2 Te 2.71
17 Pd 0.2521 0.2521 0.7479  4 Pd 2.71-2.76, 2 Te 2.71
18 Pd 0.7479 0.2521 0.2521  4 Pd 2.71-2.76, 2 Te 2.71
19 Pd 0.2521 0.7479 0.2521  4 Pd 2.71-2.76, 2 Te 2.71
20 Pd 0.0044 0.0044 0.4956  2 Te 2.68, 4 Pd 2.71-2.72
21 Pd 0.4956 0.0044 0.0044  2 Te 2.68, 4 Pd 2.71-2.72
22 Pd 0.0044 0.4956 0.0044  2 Te 2.68, 4 Pd 2.71-2.72
23 Pd 0.4956 0.4956 0.0044  2 Te 2.68, 4 Pd 2.71-2.72
24 Pd 0.0044 0.4956 0.4956  2 Te 2.68, 4 Pd 2.71-2.72
25 Pd 0.4956 0.0044 0.4956  2 Te 2.68, 4 Pd 2.71-2.72
26 Pd 0.0000 0.0000 0.0000  4 Pd 2.63

Summary:
- Final energy: -124.64 eV per cell

---

No. 4
A plane-wave DFT calculation with PBE was carried out for an optimized crystal structure of KSrAcIn.

a b c (Å): 6.0618 6.0618 6.0618
angles (deg): 60.00 60.00 60.00
With the nearest neighbours (Å) after each atom.
Atoms (fractional coordinates):
1 Sr 0.7500 0.7500 0.7500  4 In 3.71, 4 K 3.71
2 Ac 0.2500 0.2500 0.2500  4 In 3.71, 4 K 3.71
3 K 0.5000 0.5000 0.5000  4 Ac 3.71, 4 Sr 3.71
4 In 0.0000 0.0000 0.0000  4 Ac 3.71, 4 Sr 3.71

Summary:
- Final energy: -9.59 eV per cell
- Energy relative to the elements: 0.01 eV per atom

---

No. 5
A plane-wave DFT calculation with PBE was carried out for an optimized crystal structure of LiNd2FeC.

a b c (Å): 3.6980 5.2308 5.2308
angles (deg): 90.00 90.00 90.00
With the nearest neighbours (Å) after each atom.
Atoms (fractional coordinates):
1 Li 0.5000 0.5000 0.5000  8 Nd 3.20
2 Nd 0.0000 0.0000 0.5000  2 C 2.62
3 Nd 0.0000 0.5000 0.0000  2 C 2.62
4 Fe 0.5000 0.0000 0.0000  2 C 1.85
5 C 0.0000 0.0000 0.0000  2 Fe 1.85

Summary:
- Final energy: -29.46 eV per cell
- Energy relative to the elements: -0.06 eV per atom

---

No. 6
A plane-wave DFT calculation with PBE was carried out for an optimized crystal structure of PmHoAl.

a b c (Å): 3.4725 3.4725 7.2443
angles (deg): 103.87 103.87 90.00
With the nearest neighbours (Å) after each atom.
Atoms (fractional coordinates):
1 Al 0.6202 0.6202 0.2404  4 Ho 3.13, 4 Pm 3.22, 4 Al 3.47
2 Ho 0.2624 0.2624 0.5248  4 Al 3.13, 4 Ho 3.47
3 Pm 0.9674 0.9674 0.9347  4 Al 3.22, 4 Pm 3.47

Summary:
- Final energy: -13.76 eV per cell
- Energy relative to the elements: -0.23 eV per atom
- Distance to the lowest polymorph of the same formula: 4 meV per atom

---

No. 7
A plane-wave DFT calculation with PBE was carried out for an optimized crystal structure of SrZn2Pd.

a b c (Å): 4.4306 4.4306 5.9391
angles (deg): 68.10 68.10 60.00
With the nearest neighbours (Å) after each atom.
Atoms (fractional coordinates):
1 Sr 0.0000 0.0000 0.0000  8 Zn 3.19-3.36
2 Zn 0.8018 0.8018 0.5945  3 Pd 2.61, 3 Zn 2.75
3 Zn 0.1982 0.1982 0.4055  3 Pd 2.61, 3 Zn 2.75
4 Pd 0.5000 0.5000 0.5000  6 Zn 2.61

Summary:
- Final energy: -11.21 eV per cell
- Energy relative to the elements: -0.45 eV per atom

---

No. 8
A plane-wave DFT calculation with PBE was carried out for an optimized crystal structure of TeH3Pd6.

a b c (Å): 2.9680 9.3145 9.3664
angles (deg): 102.88 90.00 90.00
With the nearest neighbours (Å) after each atom.
Atoms (fractional coordinates):
1 Te 0.7500 0.0746 0.6818  6 Pd 2.67-2.79, 2 Te 2.97
2 Te 0.2500 0.9254 0.3182  6 Pd 2.67-2.79, 2 Te 2.97
3 H 0.7500 0.5308 0.8403  3 Pd 1.87-1.89
4 H 0.2500 0.4692 0.1597  3 Pd 1.87-1.89
5 H 0.7500 0.6171 0.4682  5 Pd 1.93-2.15
6 H 0.2500 0.3829 0.5318  5 Pd 1.93-2.15
7 H 0.7500 0.1875 0.0958  3 Pd 1.87-1.90
8 H 0.2500 0.8125 0.9042  3 Pd 1.87-1.90
9 Pd 0.7500 0.5359 0.6400  2 H 1.89-1.93
10 Pd 0.2500 0.4641 0.3600  2 H 1.89-1.93
11 Pd 0.7500 0.9018 0.0771  2 H 2.22
12 Pd 0.2500 0.0982 0.9229  2 H 2.22
13 Pd 0.7500 0.3763 0.0566  3 H 1.87
14 Pd 0.2500 0.6237 0.9434  3 H 1.87
15 Pd 0.7500 0.6678 0.2294  3 H 2.35-2.39
16 Pd 0.2500 0.3322 0.7706  3 H 2.35-2.39
17 Pd 0.7500 0.2437 0.4816  2 H 1.96
18 Pd 0.2500 0.7563 0.5184  2 H 1.96
19 Pd 0.7500 0.8242 0.7800  2 H 1.90
20 Pd 0.2500 0.1758 0.2200  2 H 1.90

Summary:
- Final energy: -90.14 eV per cell

---

No. 9
A plane-wave DFT calculation with PBE was carried out for an optimized crystal structure of Ba2CuSbO6.

a b c (Å): 5.5472 5.5397 6.1819
angles (deg): 63.55 63.33 90.00
With the nearest neighbours (Å) after each atom.
Atoms (fractional coordinates):
1 Ba 0.2498 0.7655 0.5003  8 O 2.69-2.92
2 Ba 0.7502 0.2345 0.4997  8 O 2.69-2.92
3 Cu 0.0000 0.0000 0.0000  4 O 1.90
4 Sb 0.5000 0.5000 0.0000  6 O 1.96-2.07
5 O 0.2736 0.7948 0.9325  1 Cu 1.90, 1 Sb 2.07
6 O 0.7936 0.7953 0.9324  1 Cu 1.90, 1 Sb 2.07
7 O 0.2968 0.3336 0.4065  1 Sb 1.96
8 O 0.7264 0.2052 0.0675  1 Cu 1.90, 1 Sb 2.07
9 O 0.2064 0.2047 0.0676  1 Cu 1.90, 1 Sb 2.07
10 O 0.7032 0.6664 0.5935  1 Sb 1.96

Summary:
- Final energy: -59.49 eV per cell

---

No. 10
A plane-wave DFT calculation with PBE was carried out for an optimized crystal structure of Pm5Dy5Er2.

a b c (Å): 5.0544 8.0044 10.7536
angles (deg): 72.73 76.41 71.60
With the nearest neighbours (Å) after each atom.
Atoms (fractional coordinates):
1 Pm 0.5000 0.5000 0.5000  6 Dy 3.56-3.58, 4 Er 3.57, 2 Pm 3.58
2 Pm 0.3338 0.3329 0.9995  5 Dy 3.57-3.60, 4 Pm 3.58-3.59, 3 Er 3.58-3.59
3 Pm 0.4164 0.9167 0.2504  7 Dy 3.57-3.58, 3 Pm 3.58-3.59, 2 Er 3.58
4 Pm 0.5836 0.0833 0.7496  7 Dy 3.57-3.58, 3 Pm 3.58-3.59, 2 Er 3.58
5 Pm 0.6662 0.6671 0.0005  5 Dy 3.57-3.60, 4 Pm 3.58-3.59, 3 Er 3.58-3.59
6 Dy 0.8327 0.8338 0.5007  5 Dy 3.56-3.58, 5 Pm 3.57-3.58, 2 Er 3.57-3.59
7 Dy 0.2513 0.7494 0.7480  4 Dy 3.56-3.60, 6 Pm 3.56-3.60, 2 Er 3.57
8 Dy 0.7487 0.2506 0.2520  4 Dy 3.56-3.60, 6 Pm 3.56-3.60, 2 Er 3.57
9 Dy 0.1673 0.1662 0.4993  5 Dy 3.56-3.58, 5 Pm 3.57-3.58, 2 Er 3.57-3.59
10 Dy 0.0000 0.0000 0.0000  8 Pm 3.57-3.58, 2 Er 3.59, 2 Dy 3.60
11 Er 0.9165 0.4177 0.7492  5 Dy 3.57-3.59, 7 Pm 3.57-3.59
12 Er 0.0835 0.5823 0.2508  5 Dy 3.57-3.59, 7 Pm 3.57-3.59

Summary:
- Final energy: -55.68 eV per cell
- Energy relative to the elements: 0.02 eV per atom

---

No. 11
A plane-wave DFT calculation with PBE was carried out for an optimized crystal structure of Cr2InRe.

a b c (Å): 2.8655 3.7198 5.7392
angles (deg): 90.00 90.00 90.00
With the nearest neighbours (Å) after each atom.
Atoms (fractional coordinates):
1 Cr 0.0000 0.0000 0.0026  4 Re 2.61, 6 Cr 2.61-2.87, 1 In 2.81
2 Cr 0.5000 0.5000 0.2006  1 Re 2.27
3 In 0.0000 0.0000 0.4919  6 Cr 2.81-2.93, 2 In 2.87, 4 Re 2.96
4 Re 0.5000 0.5000 0.8049  1 Cr 2.27

Summary:
- Final energy: -32.84 eV per cell
- Energy relative to the elements: 0.40 eV per atom

---

No. 12
A plane-wave DFT calculation with PBE was carried out for an optimized crystal structure of Na2LiBeN2.

a b c (Å): 4.8952 4.6314 6.5216
angles (deg): 110.80 112.04 90.00
With the nearest neighbours (Å) after each atom.
Atoms (fractional coordinates):
1 Na 0.4191 0.1781 0.3562  4 N 2.51-2.65, 2 Li 2.59, 2 Be 2.63
2 Na 0.5809 0.8219 0.6438  4 N 2.51-2.65, 2 Li 2.59, 2 Be 2.63
3 Na 0.0629 0.3219 0.6438  4 N 2.51-2.65, 2 Li 2.59, 2 Be 2.63
4 Na 0.9371 0.6781 0.3562  4 N 2.51-2.65, 2 Li 2.59, 2 Be 2.63
5 Li 0.0000 0.7500 0.0000  4 N 2.07, 2 Li 2.32
6 Li 0.0000 0.2500 0.0000  4 N 2.07, 2 Li 2.32
7 Be 0.5000 0.7500 0.0000  4 N 1.81
8 Be 0.5000 0.2500 0.0000  4 N 1.81
9 N 0.7918 0.0847 0.1694  2 Be 1.81
10 N 0.3776 0.5847 0.1694  2 Be 1.81
11 N 0.6224 0.4153 0.8306  2 Be 1.81
12 N 0.2082 0.9153 0.8306  2 Be 1.81

Summary:
- Final energy: -52.12 eV per cell

---

Which formula does entry 4 have? KSrAcIn

---

Please write out number 3 again, unchanged.
A plane-wave DFT calculation with PBE was carried out for an optimized crystal structure of Te5Pd21.

a b c (Å): 8.8851 8.8851 8.8851
angles (deg): 60.00 60.00 60.00
With the nearest neighbours (Å) after each atom.
Atoms (fractional coordinates):
1 Te 0.7500 0.7500 0.7500  4 Pd 2.56
2 Te 0.3744 0.3744 0.3744  6 Pd 2.68-2.71
3 Te 0.3744 0.8769 0.3744  6 Pd 2.68-2.71
4 Te 0.8769 0.3744 0.3744  6 Pd 2.68-2.71
5 Te 0.3744 0.3744 0.8769  6 Pd 2.68-2.71
6 Pd 0.6322 0.6322 0.6322  1 Te 2.56, 6 Pd 2.71-2.76
7 Pd 0.6322 0.1034 0.6322  1 Te 2.56, 6 Pd 2.71-2.76
8 Pd 0.1034 0.6322 0.6322  1 Te 2.56, 6 Pd 2.71-2.76
9 Pd 0.6322 0.6322 0.1034  1 Te 2.56, 6 Pd 2.71-2.76
10 Pd 0.1207 0.1207 0.1207  7 Pd 2.63-2.72
11 Pd 0.1207 0.6380 0.1207  7 Pd 2.63-2.72
12 Pd 0.6380 0.1207 0.1207  7 Pd 2.63-2.72
13 Pd 0.1207 0.1207 0.6380  7 Pd 2.63-2.72
14 Pd 0.7479 0.7479 0.2521  4 Pd 2.71-2.76, 2 Te 2.71
15 Pd 0.2521 0.7479 0.7479  4 Pd 2.71-2.76, 2 Te 2.71
16 Pd 0.7479 0.2521 0.7479  4 Pd 2.71-2.76, 2 Te 2.71
17 Pd 0.2521 0.2521 0.7479  4 Pd 2.71-2.76, 2 Te 2.71
18 Pd 0.7479 0.2521 0.2521  4 Pd 2.71-2.76, 2 Te 2.71
19 Pd 0.2521 0.7479 0.2521  4 Pd 2.71-2.76, 2 Te 2.71
20 Pd 0.0044 0.0044 0.4956  2 Te 2.68, 4 Pd 2.71-2.72
21 Pd 0.4956 0.0044 0.0044  2 Te 2.68, 4 Pd 2.71-2.72
22 Pd 0.0044 0.4956 0.0044  2 Te 2.68, 4 Pd 2.71-2.72
23 Pd 0.4956 0.4956 0.0044  2 Te 2.68, 4 Pd 2.71-2.72
24 Pd 0.0044 0.4956 0.4956  2 Te 2.68, 4 Pd 2.71-2.72
25 Pd 0.4956 0.0044 0.4956  2 Te 2.68, 4 Pd 2.71-2.72
26 Pd 0.0000 0.0000 0.0000  4 Pd 2.63

Summary:
- Final energy: -124.64 eV per cell

---

Which of these has the lowest final energy? Te5Pd21

---

The lowest final energy belongs to which entry? Te5Pd21